(1)
LaY2Ag (PBE, optimized geometry); calculated volume = 124 Å³/cell; space group = R3m (160); relative energy among the computed polymorphs = 0.1354 eV per atom
1.0
1.8456 1.0655 10.4686
-1.8456 1.0655 10.4686
0.0000 -2.1311 10.4686
La Y Ag
1 2 1
Cartesian
0.0000 0.0000 0.0000
0.0000 0.0000 17.8958
0.0000 0.0000 23.9421
0.0000 0.0000 5.2055

---

(2)
LaYAg (PBE, optimized geometry); calculated volume = 89 Å³/cell; space group = P3m1 (156); relative energy among the computed polymorphs = 0.1485 eV per atom
1.0
5.1229 0.0000 0.0000
-2.5615 4.4366 0.0000
0.0000 0.0000 3.9019
La Y Ag
1 1 1
Cartesian
0.0000 0.0000 0.0000
0.0000 2.9577 1.8292
2.5615 1.4789 2.3248

---

(3)
LaY2Ag (PBE, optimized geometry); calculated volume = 117 Å³/cell; space group = I4/mmm (139); relative energy among the computed polymorphs = 0.1956 eV per atom
1.0
-2.3644 2.3644 5.2379
2.3644 -2.3644 5.2379
2.3644 2.3644 -5.2379
La Y Ag
1 2 1
Cartesian
0.0000 0.0000 0.0000
2.3644 0.0000 2.6190
0.0000 2.3644 2.6190
0.0000 0.0000 5.2379

---

(4)
LaY2Ag (PBE, optimized geometry); calculated volume = 121 Å³/cell; space group = Pm (6); relative energy among the computed polymorphs = 0.1121 eV per atom
1.0
3.8117 0.0000 0.0000
0.0000 5.0559 0.0000
-1.8919 0.0000 6.2988
La Y Ag
1 2 1
Cartesian
0.0000 0.0000 0.0000
-0.0093 0.0000 3.4144
1.9012 2.5280 2.0712
0.0233 2.5280 5.0968

---

(5)
La5YAg6 (PBE, optimized geometry); calculated volume = 328 Å³/cell; space group = Cmmm (65)
1.0
2.6938 -8.0996 0.0000
2.6938 8.0996 0.0000
0.0000 0.0000 7.5231
La Y Ag
5 1 6
Cartesian
0.0000 0.0000 0.0000
2.6938 2.7351 0.0000
2.6938 2.6974 3.7616
2.6938 -2.6974 3.7616
2.6938 -2.7351 0.0000
0.0000 0.0000 3.7616
2.6938 5.4958 1.9368
2.6938 5.4958 5.5863
2.6938 0.0000 1.9859
2.6938 0.0000 5.5372
2.6938 -5.4958 1.9368
2.6938 -5.4958 5.5863

---

(6)
LaY2Ag (PBE, optimized geometry); calculated volume = 118 Å³/cell; space group = F-43m (216); relative energy among the computed polymorphs = 0.2139 eV per atom
1.0
0.0000 3.8891 3.8891
3.8891 0.0000 3.8891
3.8891 3.8891 0.0000
La Y Ag
1 2 1
Cartesian
0.0000 0.0000 0.0000
1.9445 1.9445 1.9445
3.8891 3.8891 3.8891
5.8336 5.8336 5.8336

---

(7)
La2Y2Ag (PBE, optimized geometry); calculated volume = 333 Å³/cell; space group = P4/mbm (127); relative energy among the computed polymorphs = 0.2518 eV per atom
1.0
7.7787 0.0000 0.0000
0.0000 7.7787 0.0000
0.0000 0.0000 5.4964
La Y Ag
4 4 2
Cartesian
1.0725 2.8168 0.0000
2.8168 6.7062 0.0000
4.9619 1.0725 0.0000
6.7062 4.9619 0.0000
1.2633 5.1526 2.7482
2.6261 1.2633 2.7482
5.1526 6.5154 2.7482
6.5154 2.6261 2.7482
0.0000 0.0000 0.0000
3.8894 3.8894 0.0000

---

(8)
LaYAg (PBE, optimized geometry); calculated volume = 188 Å³/cell; space group = R-3m (166); relative energy among the computed polymorphs = 0.2202 eV per atom
1.0
2.4739 1.4283 8.8764
-2.4739 1.4283 8.8764
0.0000 -2.8566 8.8764
La Y Ag
2 2 2
Cartesian
0.0000 0.0000 3.6658
0.0000 0.0000 22.9634
0.0000 0.0000 9.9952
0.0000 0.0000 16.6340
0.0000 0.0000 6.8738
0.0000 0.0000 19.7554

---

(9)
LaYAg4 (PBE, optimized geometry); calculated volume = 152 Å³/cell; space group = Pmmm (47); relative energy among the computed polymorphs = 0.2670 eV per atom
1.0
3.5056 0.0000 0.0000
0.0000 4.4024 0.0000
0.0000 0.0000 9.8583
La Y Ag
1 1 4
Cartesian
0.0000 0.0000 0.0000
1.7528 2.2012 4.9292
0.0000 2.2012 2.3844
0.0000 2.2012 7.4739
1.7528 0.0000 2.7610
1.7528 0.0000 7.0973

---

(10)
La3Y2Ag2 (PBE, optimized geometry); calculated volume = 206 Å³/cell; space group = Cmmm (65)
1.0
2.4688 -11.8253 0.0000
2.4688 11.8253 0.0000
0.0000 0.0000 3.5351
La Y Ag
3 2 2
Cartesian
0.0000 0.0000 0.0000
2.4688 8.5729 0.0000
2.4688 -8.5729 0.0000
2.4688 4.9030 1.7675
2.4688 -4.9030 1.7675
2.4688 1.6536 1.7675
2.4688 -1.6536 1.7675

---

(11)
LaY2Ag (PBE, optimized geometry); calculated volume = 252 Å³/cell; space group = I-42d (122); relative energy among the computed polymorphs = 0.1987 eV per atom
1.0
-4.3523 4.3523 3.3305
4.3523 -4.3523 3.3305
4.3523 4.3523 -3.3305
La Y Ag
2 4 2
Cartesian
0.0000 0.0000 0.0000
0.0000 4.3523 1.6653
2.1761 -1.6995 2.4979
2.6528 2.1761 0.8326
2.1761 6.0518 -0.8326
1.6995 2.1761 4.1632
4.3523 0.0000 1.6653
0.0000 0.0000 3.3305

---

(12)
La2YAg2 (PBE, optimized geometry); calculated volume = 293 Å³/cell; space group = P4/mbm (127); relative energy among the computed polymorphs = 0.0000 eV per atom
1.0
8.5801 0.0000 0.0000
0.0000 8.5801 0.0000
0.0000 0.0000 3.9818
La Y Ag
4 2 4
Cartesian
1.4831 2.8069 0.0000
2.8069 7.0970 0.0000
5.7732 1.4831 0.0000
7.0970 5.7732 0.0000
0.0000 0.0000 1.9909
4.2901 4.2901 1.9909
1.0644 5.3544 1.9909
3.2257 1.0644 1.9909
5.3544 7.5157 1.9909
7.5157 3.2257 1.9909

---

Values for density, g cm⁻³, ordered as above
5.71; 6.29; 6.02; 5.81; 7.24; 5.99; 5.63; 5.92; 7.20; 6.52; 5.59; 6.60
Values for energy of formation, kcal/mol of atoms, ordered as above
0.100; -0.540; 1.488; -0.438; -6.119; 1.911; 3.447; 1.115; 0.114; 0.615; 1.560; -4.521